1.
{"formula": "Ta2Tc", "functional": "GGA-PBEsol", "state": "relaxed", "lattice": [[-1.282, -0.318, 2.495], [2.506, -1.299, -0.028], [2.274, 6.327, 0.953]], "species": ["Ta", "Ta", "Tc"], "fractional_positions": [[0.661, 0.661, 0.322], [0.339, 0.339, 0.678], [0.000, 0.000, 0.000]], "total_magnetization_mub_per_fu": 0.00}

2.
{"formula": "Ta2Tc", "functional": "GGA-PBEsol", "state": "relaxed", "lattice": [[5.025, 0.000, 0.000], [2.513, 4.527, 0.000], [2.513, 0.000, 4.527]], "species": ["Ta", "Ta", "Ta", "Ta", "Tc", "Tc"], "fractional_positions": [[0.156, 0.188, 0.500], [0.344, 0.500, 0.812], [0.656, 0.500, 0.188], [0.844, 0.812, 0.500], [0.750, 0.000, 0.000], [0.250, 0.000, 0.000]], "total_magnetization_mub_per_fu": 0.00}

no.,density of states at the Fermi level (states/eV/f.u.),relative energy among the computed polymorphs (meV per atom)
1,1.7,205
2,3.6,467